Compound: NaNiTe2O8
Source: the Alexandria database
Functional: GGA+U
Structure: relaxed

Results
The calculation puts the electronic total energy at -4.871 eV per atom.

CIF file:
```
data_NaNiTe2O8
_cell_length_a 5.5551
_cell_length_b 5.5551
_cell_length_c 6.3121
_cell_angle_alpha 90.00
_cell_angle_beta 90.00
_cell_angle_gamma 120.00
_space_group_name_H-M_alt 'P -3'
_space_group_IT_number 147
_space_group_name_Hall '-P 3'
loop_
_atom_site_label
_atom_site_type_symbol
_atom_site_fract_x
_atom_site_fract_y
_atom_site_fract_z
Na1 Na 0.0000 0.0000 0.0000
Ni1 Ni 0.0000 0.0000 0.5000
Te1 Te 0.3333 0.6667 0.4363
O1 O 0.0636 0.3656 0.6330
O2 O 0.3333 0.6667 0.1403
```